Entry from the Alexandria database: LaInAg2Sn after structural relaxation (PBE-GGA).

Calculated values
total energy: -3.2751 eV/atom
space-group type: P4/mmm (123)

CIF file:
```
data_LaInAg2Sn
_cell_length_a 5.193
_cell_length_b 6.105
_cell_length_c 5.193
_cell_angle_alpha 90.00
_cell_angle_beta 90.00
_cell_angle_gamma 90.00
_space_group_name_H-M_alt 'P 1'
_space_group_IT_number 1
loop_
_space_group_symop_operation_xyz
'x,y,z'
loop_
_atom_site_label
_atom_site_type_symbol
_atom_site_fract_x
_atom_site_fract_y
_atom_site_fract_z
Sn1 Sn 0.000 0.000 0.000
Ag1 Ag 0.500 0.000 0.000
Ag2 Ag 0.000 0.000 0.500
La1 La 0.000 0.500 0.000
In1 In 0.500 0.500 0.500
```

---

Entry from the Alexandria database: SrLaInAg after structural relaxation (PBE-GGA).

Calculated values
total energy: -3.4039 eV/atom
space-group type: F-43m (216)

CIF file:
```
data_SrLaInAg
_cell_length_a 5.577
_cell_length_b 5.577
_cell_length_c 5.577
_cell_angle_alpha 60.00
_cell_angle_beta 60.00
_cell_angle_gamma 60.00
_space_group_name_H-M_alt 'P 1'
_space_group_IT_number 1
loop_
_space_group_symop_operation_xyz
'x,y,z'
loop_
_atom_site_label
_atom_site_type_symbol
_atom_site_fract_x
_atom_site_fract_y
_atom_site_fract_z
Ag1 Ag 0.500 0.500 0.500
In1 In 0.000 0.000 0.000
La1 La 0.250 0.250 0.250
Sr1 Sr 0.750 0.750 0.750
```

---

> total energy of number 2 (SrLaInAg)?

-3.4039 eV/atom

---

> Which of these has the highest total energy?

LaInAg2Sn